A relaxed structure of SmGa2Ag. Source: the Alexandria database, functional PBE.

a = 6.9088 Å, b = 6.9088 Å, c = 6.9088 Å
α = 90.00°, β = 90.00°, γ = 90.00°
Closest atoms and distances in Å follow each position.
Space group Fm-3m (No. 225)
Inequivalent atoms, fractional coordinates:
Sm 0.0000 0.0000 0.0000  8 Ga 2.99
Ga 0.2500 0.2500 0.2500  4 Sm 2.99, 4 Ag 2.99
Ag 0.0000 0.0000 0.5000  8 Ga 2.99

Summary:
Energy relative to the elements   -0.36 eV/atom
Volume   20.610 A^3/atom
ρ   8.01 g/cm³
Magnetization   0.0000 μB/atom